Record 1
Material: Y2GePt
Method: DFT, PBE-GGA
State: relaxed

```
Y2GePt
1.0
5.817 0.000 0.000
0.000 4.313 0.000
-2.725 0.000 7.352
Ge Pt Y
2 2 4
Cartesian
1.332 3.235 1.515
1.760 1.078 5.837
3.011 1.078 2.129
0.081 3.235 5.223
4.279 3.235 0.621
0.053 1.078 3.240
3.038 3.235 4.112
-1.187 1.078 6.731
```

E_tot	-6.9901	eV/atom

Record 2
Material: PmMgCdAg
Method: DFT, PBE-GGA
State: relaxed

```
PmMgCdAg
1.0
1.091 -4.563 -1.974
2.685 -3.369 2.711
-2.264 -4.174 1.834
Ag Cd Mg Pm
1 1 1 1
Cartesian
0.756 -6.053 1.286
0.000 0.000 0.000
0.378 -3.027 0.643
1.134 -9.080 1.929
```

E_tot	-2.8289	eV/atom

Record 3
Material: Na2AlTcO6
Method: DFT, PBE-GGA
State: relaxed

```
Na2AlTcO6
1.0
-2.625 2.625 3.770
2.625 -2.625 3.770
2.625 2.625 -3.770
Al Na O Tc
1 2 6 1
Cartesian
0.000 0.000 3.770
0.000 2.625 1.885
2.625 0.000 1.885
0.000 0.000 1.885
0.000 0.000 5.655
1.532 -1.088 3.770
1.088 1.532 3.770
1.537 1.092 0.000
1.092 3.712 0.000
0.000 0.000 0.000
```

ΔE to the lowest computed polymorph	0.0	meV per atom
E_tot	-6.4835	eV/atom

Record 4
Material: Cu2Ag3
Method: DFT, PBE-GGA
State: relaxed

```
Cu2Ag3
1.0
4.736 5.154 -2.415
-6.489 -3.150 -1.671
-1.581 2.484 3.880
Ag Cu
6 4
Cartesian
2.536 3.526 -2.269
0.262 1.844 -2.119
-1.998 0.172 -1.969
-4.247 -1.491 -1.820
-1.717 2.207 -0.100
-6.175 -1.091 0.196
4.708 5.133 -2.413
2.777 5.531 -0.397
0.681 3.981 -0.259
-3.930 0.570 0.047
```

ΔE to the lowest computed polymorph	67.0	meV per atom
formation energy	0.5	eV per formula unit
E_tot	-3.0821	eV/atom

Record 5
Material: NpMoPd
Method: DFT, PBE-GGA
State: relaxed

```
NpMoPd
1.0
0.000 3.123 3.123
3.123 0.000 3.123
3.123 3.123 0.000
Mo Np Pd
1 1 1
Cartesian
0.000 0.000 0.000
1.561 1.561 1.561
4.684 4.684 4.684
```

ΔE to the lowest computed polymorph	0.0	meV per atom
formation energy	1.7	eV per formula unit
E_tot	-9.0272	eV/atom

Record 6
Material: TbGd2Al3PtAu2
Method: DFT, PBE-GGA
State: relaxed

```
TbGd2Al3PtAu2
1.0
-1.672 -3.623 -0.219
-2.367 0.672 6.967
-4.255 2.301 -5.585
Al Au Gd Pt Tb
3 2 2 1 1
Cartesian
-1.394 -1.652 1.529
-1.838 -1.269 -1.422
-5.900 0.462 0.947
-3.831 -0.596 2.662
-4.458 -0.056 -1.500
-1.393 0.395 4.100
-2.504 1.354 -3.287
-0.007 0.003 0.001
-2.721 1.221 0.568
```

E_tot	-5.1068	eV/atom

Record 7
Material: InCoPb
Method: DFT, PBE-GGA
State: relaxed

```
InCoPb
1.0
3.228 -1.686 2.631
-0.059 -4.350 1.121
3.062 -2.804 -1.717
Co In Pb
1 1 1
Cartesian
0.000 0.000 0.000
1.558 -2.210 0.509
4.673 -6.630 1.526
```

ΔE to the lowest computed polymorph	0.0	meV per atom
E_tot	-4.2919	eV/atom

Record 8
Material: CdPtSeO
Method: DFT, PBE-GGA
State: relaxed

```
CdPtSeO
1.0
-1.157 4.621 0.343
-0.802 -0.775 7.730
7.950 1.914 1.017
Cd O Pt Se
4 4 4 4
Cartesian
0.089 1.027 0.847
2.179 4.019 5.310
3.333 1.665 7.669
6.382 4.810 4.355
0.234 2.882 2.138
1.812 1.951 6.154
3.441 4.771 6.902
6.496 1.917 2.987
-0.196 1.421 6.056
2.209 3.379 2.557
4.505 1.485 2.573
5.465 5.236 6.994
-0.227 3.848 6.785
2.141 0.856 2.785
4.583 3.968 2.342
5.486 2.849 6.269
```

ΔE to the lowest computed polymorph	12.1	meV per atom
E_tot	-4.2072	eV/atom

Record 9
Material: LiSmCu
Method: DFT, PBE-GGA
State: relaxed

```
LiSmCu
1.0
-2.997 -3.145 -1.483
-3.444 1.238 -2.770
0.020 -1.291 -4.405
Cu Li Sm
1 1 1
Cartesian
0.000 0.000 0.000
-1.605 -0.799 -2.164
-4.816 -2.398 -6.493
```

ΔE to the lowest computed polymorph	0.0	meV per atom
E_tot	-3.3489	eV/atom

Record 10
Material: RbReAgTeS2
Method: DFT, PBE-GGA
State: relaxed

```
RbReAgTeS2
1.0
1.840 -8.202 0.000
1.840 8.202 0.000
0.000 0.000 10.425
Ag Rb Re S Te
2 2 2 4 2
Cartesian
1.840 -7.284 2.606
1.840 7.284 7.818
1.840 3.848 2.606
1.840 -3.848 7.818
1.840 0.000 0.000
1.840 0.000 5.212
1.840 -6.562 0.280
1.840 -6.562 4.932
1.840 6.562 5.492
1.840 6.562 10.145
1.840 -1.217 2.606
1.840 1.217 7.818
```

E_tot	-4.7686	eV/atom

Record 11
Material: CdReO3
Method: DFT, PBE-GGA
State: relaxed

```
CdReO3
1.0
2.810 -1.622 -4.167
-2.810 -1.622 -4.167
0.000 3.245 -4.167
Cd O Re
2 6 2
Cartesian
0.000 0.000 -3.125
0.000 0.000 -9.375
1.123 -1.299 -5.208
-0.564 -1.622 -7.291
-1.687 -0.323 -5.208
1.687 0.323 -7.291
0.564 1.622 -5.208
-1.123 1.299 -7.291
0.000 0.000 0.000
0.000 0.000 -6.250
```

E_tot	-6.7215	eV/atom

Record 12
Material: BeIn2Cu5
Method: DFT, PBE-GGA
State: relaxed

```
BeIn2Cu5
1.0
4.269 0.000 0.000
0.000 4.269 0.000
0.000 0.000 6.039
Be Cu In
1 5 2
Cartesian
0.000 0.000 3.020
2.135 2.135 0.000
2.135 0.000 1.566
0.000 2.135 1.566
2.135 0.000 4.474
0.000 2.135 4.474
0.000 0.000 0.000
2.135 2.135 3.020
```

E_tot	-3.3699	eV/atom

- Which of these has the lowest E_tot?
  NpMoPd

Repeat the ninth record exactly.
Material: LiSmCu
Method: DFT, PBE-GGA
State: relaxed

```
LiSmCu
1.0
-2.997 -3.145 -1.483
-3.444 1.238 -2.770
0.020 -1.291 -4.405
Cu Li Sm
1 1 1
Cartesian
0.000 0.000 0.000
-1.605 -0.799 -2.164
-4.816 -2.398 -6.493
```

ΔE to the lowest computed polymorph	0.0	meV per atom
E_tot	-3.3489	eV/atom